Record 1
CeTm2Zn PBE relaxed; DFT total energy = -4.032 eV/atom; energy relative to the elements = 0.02 eV per formula unit
1.0
4.6260 0.0000 0.0000
0.0000 4.7201 0.0000
0.0000 0.0000 4.7201
Tm Ce Zn
2 1 1
Direct
0.0000 0.0000 0.5000
0.0000 0.5000 0.0000
0.5000 0.5000 0.5000
0.5000 0.0000 0.0000


Record 2
Dy4Cd2InHg PBE relaxed; DFT total energy = -3.312 eV/atom; energy relative to the elements = -3.21 eV per formula unit
1.0
-1.0415 -4.4861 -2.5969
1.2819 -4.6573 2.1493
-7.6787 -3.4371 3.6348
Dy Hg Cd In
4 1 2 1
Direct
0.1263 0.1263 0.6210
0.3764 0.3764 0.8708
0.6236 0.6236 0.1292
0.8737 0.8737 0.3790
0.5000 0.5000 0.5000
0.7486 0.7486 0.7542
0.2514 0.2514 0.2458
0.0000 0.0000 0.0000


Record 3
Ca5Mg2Zn2Cd PBE relaxed; DFT total energy = -1.781 eV/atom; energy relative to the elements = -1.15 eV per formula unit
1.0
-0.1513 4.0340 0.3054
-1.9445 -0.9764 11.9316
11.9629 0.2993 1.9741
Zn Ca Mg Cd
4 10 4 2
Direct
0.0000 0.1314 0.6314
0.0000 0.3686 0.1314
0.0000 0.6314 0.8686
0.0000 0.8686 0.3686
0.5000 0.2013 0.0668
0.5000 0.4332 0.2987
0.5000 0.5000 0.0000
0.5000 0.9332 0.2013
0.5000 0.0668 0.7987
0.5000 0.0000 0.5000
0.5000 0.7987 0.9332
0.5000 0.7013 0.4332
0.5000 0.5668 0.7013
0.5000 0.2987 0.5668
0.0000 0.1770 0.3230
0.0000 0.3230 0.8230
0.0000 0.8230 0.6770
0.0000 0.6770 0.1770
0.0000 0.5000 0.5000
0.0000 0.0000 0.0000